SrMn2CuTe | PBE-GGA | optimized geometry

Cell lengths 4.9681, 4.9681, 6.2565 Å; angles 90.00, 90.00, 90.00 degrees
Closest atoms and distances in Å follow each position.
Sites, in units of the cell vectors:
Sr  0.0000  0.0000  0.0000  2 Te 3.13
Mn  0.0000  0.5000  0.5000  2 Te 2.48
Mn  0.5000  0.0000  0.5000  2 Te 2.48
Cu  0.5000  0.5000  0.0000  4 Sr 3.51
Te  0.0000  0.0000  0.5000  4 Mn 2.48

Output
uncorrected formation energy	0.725	eV per atom
magnetization	7.09	μB per formula unit